Here is a relaxed La2HPtRh crystal from Alexandria via LeMat-Bulk. Energies are from PBE.

Properties
SG = P4/mmm
D(E_F) = 2.883 states/eV per cell
raw total energy = -6.13 eV per atom

Cell lengths 5.2245, 5.2245, 3.6254 Å; angles 90.00, 90.00, 90.00 degrees
Element x y z (fractional)
La 0.0000 0.5000 0.0000
La 0.5000 0.0000 0.0000
H 0.0000 0.0000 0.0000
Pt 0.5000 0.5000 0.5000
Rh 0.0000 0.0000 0.5000